(1)
## ZrIr4Pt (PBE)

Data for a relaxed structure of ZrIr4Pt.

Properties
The value obtained for the electronic total energy is -8.56 eV per atom. As for the total magnetization: 0.0 μB per cell. The value obtained for the formation energy from the elements is -0.2234 eV per atom.

a = 5.1939 Å, b = 5.1939 Å, c = 5.1939 Å
α = 60.00°, β = 60.00°, γ = 60.00°
With the nearest neighbours (Å) after each atom.
Fractional coordinates of all 6 atoms:
Zr (0.0000, 0.0000, 0.0000)  12 Ir 3.05, 4 Pt 3.18
Ir (0.1260, 0.6246, 0.6246)  6 Ir 2.59-2.60
Ir (0.6246, 0.1260, 0.6246)  6 Ir 2.59-2.60
Ir (0.6246, 0.6246, 0.1260)  6 Ir 2.59-2.60
Ir (0.6246, 0.6246, 0.6246)  6 Ir 2.59-2.60
Pt (0.2500, 0.2500, 0.2500)  12 Ir 3.04, 4 Zr 3.18



(2)
## ZrIrPt2 (PBE)

Data for a relaxed structure of ZrIrPt2.

Properties
The value obtained for the electronic total energy is -8.13 eV per atom. As for the total magnetization: 0.0 μB per cell. The value obtained for the formation energy from the elements is -0.7586 eV per atom.

a = 4.9589 Å, b = 4.9589 Å, c = 4.9589 Å
α = 131.97°, β = 131.97°, γ = 70.28°
With the nearest neighbours (Å) after each atom.
Fractional coordinates of all 4 atoms:
Zr (0.0000, 0.0000, 0.0000)  8 Pt 2.85-2.86, 4 Ir 2.86
Ir (0.2500, 0.7500, 0.5000)  8 Pt 2.85-2.86, 4 Zr 2.86
Pt (0.5000, 0.5000, 0.0000)  4 Zr 2.85, 4 Ir 2.86, 4 Pt 2.86
Pt (0.7500, 0.2500, 0.5000)  4 Ir 2.85, 4 Zr 2.86, 4 Pt 2.86



(3)
## ZrIrPt2 (PBE)

Data for a relaxed structure of ZrIrPt2.

Properties
The value obtained for the electronic total energy is -7.76 eV per atom. As for the total magnetization: 0.0 μB per cell. The value obtained for the formation energy from the elements is -0.3850 eV per atom.

a = 2.8715 Å, b = 2.8715 Å, c = 8.0891 Å
α = 90.00°, β = 90.00°, γ = 90.00°
With the nearest neighbours (Å) after each atom.
Fractional coordinates of all 4 atoms:
Zr (0.0000, 0.0000, 0.0000)  4 Ir 2.85, 4 Zr 2.87, 4 Pt 2.91
Ir (0.5000, 0.5000, 0.2469)  4 Pt 2.82, 4 Zr 2.85, 4 Ir 2.87
Pt (0.0000, 0.0000, 0.4894)  4 Ir 2.82, 8 Pt 2.87-2.88
Pt (0.5000, 0.5000, 0.7422)  8 Pt 2.87-2.88, 4 Zr 2.91



(4)
## ZrIrPt2 (PBE)

Data for a relaxed structure of ZrIrPt2.

Properties
The value obtained for the electronic total energy is -7.58 eV per atom. As for the total magnetization: 0.0 μB per cell. The value obtained for the formation energy from the elements is -0.2040 eV per atom.

a = 9.5010 Å, b = 9.5010 Å, c = 9.5010 Å
α = 17.34°, β = 17.34°, γ = 17.34°
With the nearest neighbours (Å) after each atom.
Fractional coordinates of all 4 atoms:
Zr (0.0000, 0.0000, 0.0000)  3 Ir 2.85, 6 Zr 2.87, 3 Pt 2.88
Ir (0.7496, 0.7496, 0.7496)  3 Pt 2.83, 3 Zr 2.85, 6 Ir 2.87
Pt (0.2491, 0.2491, 0.2491)  9 Pt 2.87-2.89, 3 Zr 2.88
Pt (0.4982, 0.4982, 0.4982)  3 Ir 2.83, 9 Pt 2.87-2.89



(5)
## ZrIrPt3 (PBE)

Data for a relaxed structure of ZrIrPt3.

Properties
The value obtained for the electronic total energy is -6.23 eV per atom. As for the total magnetization: 0.0 μB per cell. The value obtained for the formation energy from the elements is 0.8788 eV per atom. As for the distance to the lowest polymorph of the same formula: 1494 meV/atom.

a = 4.8097 Å, b = 4.8097 Å, c = 4.8097 Å
α = 90.00°, β = 90.00°, γ = 90.00°
With the nearest neighbours (Å) after each atom.
Fractional coordinates of all 5 atoms:
Zr (0.0000, 0.0000, 0.0000)  12 Pt 3.40
Ir (0.5000, 0.5000, 0.5000)  6 Pt 2.40
Pt (0.0000, 0.5000, 0.5000)  2 Ir 2.40
Pt (0.5000, 0.0000, 0.5000)  2 Ir 2.40
Pt (0.5000, 0.5000, 0.0000)  2 Ir 2.40



(6)
## ZrIr3Pt (PBE)

Data for a relaxed structure of ZrIr3Pt.

Properties
The value obtained for the electronic total energy is -6.81 eV per atom. As for the total magnetization: 1.5 μB per cell. The value obtained for the formation energy from the elements is 1.4208 eV per atom. As for the distance to the lowest polymorph of the same formula: 0 meV/atom.

a = 4.7575 Å, b = 4.7575 Å, c = 4.7575 Å
α = 90.00°, β = 90.00°, γ = 90.00°
With the nearest neighbours (Å) after each atom.
Fractional coordinates of all 5 atoms:
Zr (0.0000, 0.0000, 0.0000)  12 Ir 3.36
Ir (0.0000, 0.5000, 0.5000)  2 Pt 2.38
Ir (0.5000, 0.0000, 0.5000)  2 Pt 2.38
Ir (0.5000, 0.5000, 0.0000)  2 Pt 2.38
Pt (0.5000, 0.5000, 0.5000)  6 Ir 2.38



(7)
## Zr5IrPt2 (PBE)

Data for a relaxed structure of Zr5IrPt2.

Properties
The value obtained for the electronic total energy is -8.68 eV per atom. As for the total magnetization: 0.0 μB per cell. The value obtained for the formation energy from the elements is -0.7216 eV per atom.

a = 7.0079 Å, b = 10.9128 Å, c = 4.3224 Å
α = 90.00°, β = 90.00°, γ = 90.00°
With the nearest neighbours (Å) after each atom.
Fractional coordinates of all 16 atoms:
Zr (0.0000, 0.0000, 0.0000)  4 Pt 2.86
Zr (0.1513, 0.2831, 0.0000)  1 Ir 2.59
Zr (0.1836, 0.5864, 0.5000)  2 Ir 2.69, 2 Pt 2.82-2.85
Zr (0.3164, 0.0864, 0.5000)  2 Ir 2.69, 2 Pt 2.82-2.85
Zr (0.3487, 0.7831, 0.0000)  1 Ir 2.59
Zr (0.5000, 0.5000, 0.0000)  4 Pt 2.86
Zr (0.6513, 0.2169, 0.0000)  1 Ir 2.59
Zr (0.6836, 0.9136, 0.5000)  2 Ir 2.69, 2 Pt 2.82-2.85
Zr (0.8164, 0.4136, 0.5000)  2 Ir 2.69, 2 Pt 2.82-2.85
Zr (0.8487, 0.7169, 0.0000)  1 Ir 2.59
Ir (0.0000, 0.5000, 0.0000)  6 Zr 2.59-2.69
Ir (0.5000, 0.0000, 0.0000)  6 Zr 2.59-2.69
Pt (0.0709, 0.8346, 0.5000)  8 Zr 2.82-2.96
Pt (0.4291, 0.3346, 0.5000)  8 Zr 2.82-2.96
Pt (0.5709, 0.6654, 0.5000)  8 Zr 2.82-2.96
Pt (0.9291, 0.1654, 0.5000)  8 Zr 2.82-2.96



(8)
## ZrIr2Pt (PBE)

Data for a relaxed structure of ZrIr2Pt.

Properties
The value obtained for the electronic total energy is -8.68 eV per atom. As for the total magnetization: 0.0 μB per cell. The value obtained for the formation energy from the elements is -0.6008 eV per atom.

a = 4.9154 Å, b = 4.9154 Å, c = 4.9154 Å
α = 131.63°, β = 131.63°, γ = 70.81°
With the nearest neighbours (Å) after each atom.
Fractional coordinates of all 4 atoms:
Zr (0.0000, 0.0000, 0.0000)  8 Ir 2.84, 4 Pt 2.85
Ir (0.2500, 0.7500, 0.5000)  4 Zr 2.84, 4 Pt 2.84, 4 Ir 2.85
Ir (0.7500, 0.2500, 0.5000)  4 Zr 2.84, 4 Pt 2.84, 4 Ir 2.85
Pt (0.5000, 0.5000, 0.0000)  8 Ir 2.84, 4 Zr 2.85



Q: What is the electronic total energy in the third record?
A: -7.76 eV per atom